Sm2CuTe after structural relaxation, computed with PBE.

Unit cell a=3.8360 b=3.8360 c=6.9514 alpha=90.00 beta=90.00 gamma=90.00
Sites, in units of the cell vectors:
Sm1 0.0000 0.0000 0.2372
Sm2 0.0000 0.0000 0.7628
Cu1 0.5000 0.5000 0.0000
Te1 0.5000 0.5000 0.5000

Results
E_form (uncorrected) ... -0.6274 eV/atom
Energy ... -19.19 eV for the cell shown
Calculated volume ... 102.29 Å³/cell
Symmetry ... P4/mmm (123)